# LaSiIr

A geometry-optimized LaSiIr structure (GGA-PBEsol, Alexandria via LeMat-Bulk).

The structure in POSCAR format:
```
LaSiIr
1.0
4.1209 0.0000 0.0000
-2.0605 3.5688 0.0000
0.0000 0.0000 4.3368
La Si Ir
1 1 1
Direct
0.0000 0.0000 0.0000
0.6667 0.3333 0.5000
0.3333 0.6667 0.5000
```

Calculated values
N(E_F) = 3.0 states/eV per cell
uncorrected formation energy = -0.871 eV per atom